HfCoO3, optimized geometry, DFT PBE+U; space-group type = No. 161; magnetic moment = 3.0 μB per formula unit; final energy = -42.47 eV/f.u.
1.0
2.650 4.577 0.348
-2.650 4.577 0.348
0.000 2.686 5.025
Hf Co O
2 2 6
direct
0.007 0.507 0.977
0.507 0.007 0.477
0.297 0.797 0.109
0.797 0.297 0.609
0.611 0.395 0.276
0.895 0.718 0.276
0.218 0.111 0.276
0.111 0.218 0.776
0.395 0.611 0.776
0.718 0.895 0.776